Record 1
Material: K4Y3BiO8
Method: DFT, PBE
State: optimized geometry

a = 7.047 Å, b = 7.478 Å, c = 7.047 Å
α = 118.12°, β = 120.00°, γ = 90.00°
Element x y z (fractional)
O 0.728 0.685 0.457
O 0.764 0.309 0.045
O 0.719 0.691 0.955
Y 0.500 0.500 0.000
O 0.764 0.309 0.527
O 0.236 0.691 0.955
O 0.236 0.691 0.473
Y 0.000 0.500 0.500
K 0.500 0.000 0.500
O 0.272 0.315 0.543
Bi 0.000 0.500 0.000
K 0.500 0.000 0.000
O 0.281 0.309 0.045
K 0.000 0.000 0.000
K 0.000 0.000 0.500
Y 0.500 0.500 0.500

Results
ΔE_f (raw): -55.2 kcal/mol of atoms


Record 2
Material: LiLa2InAu6
Method: DFT, PBE
State: optimized geometry

a = 9.230 Å, b = 5.607 Å, c = 7.348 Å
α = 64.61°, β = 45.11°, γ = 83.68°
Element x y z (fractional)
Au 0.562 0.745 0.548
In 0.000 0.000 0.000
Au 0.169 0.647 0.176
Au 0.741 0.787 0.975
La 0.242 0.774 0.493
Au 0.438 0.255 0.452
Li 0.500 0.500 0.000
La 0.758 0.226 0.507
Au 0.259 0.213 0.025
Au 0.831 0.353 0.824

Results
energy relative to the elements: -492 kJ/mol of formula units


Record 3
Material: Sr3ZnSb3
Method: DFT, PBE
State: optimized geometry

a = 6.876 Å, b = 10.788 Å, c = 13.638 Å
α = 90.00°, β = 90.00°, γ = 108.58°
Element x y z (fractional)
Sb 0.719 0.000 0.610
Sr 0.882 0.345 0.130
Zn 0.415 0.829 0.500
Sb 0.120 0.676 0.621
Sr 0.037 0.655 0.370
Sb 0.444 0.324 0.621
Sb 0.281 0.000 0.390
Sr 0.618 0.655 0.630
Sr 0.463 0.345 0.870
Sr 0.963 0.345 0.630
Sr 0.205 0.000 0.642
Sb 0.056 0.676 0.121
Zn 0.585 0.171 0.500
Sr 0.382 0.345 0.370
Zn 0.085 0.171 0.000
Sb 0.620 0.676 0.879
Sr 0.295 0.000 0.142
Sb 0.781 0.000 0.110
Sb 0.880 0.324 0.379
Sr 0.118 0.655 0.870
Sb 0.380 0.324 0.121
Sr 0.705 0.000 0.858
Sr 0.537 0.655 0.130
Sr 0.795 0.000 0.358
Sb 0.219 0.000 0.890
Sb 0.944 0.324 0.879
Zn 0.915 0.829 0.000
Sb 0.556 0.676 0.379

Results
ΔE_f (raw): -19.2 kcal/mol of atoms


Record 4
Material: RuWCl2
Method: DFT, PBE
State: optimized geometry

a = 7.618 Å, b = 7.618 Å, c = 7.618 Å
α = 157.41°, β = 146.96°, γ = 40.39°
Element x y z (fractional)
Ru 0.750 0.250 0.500
Cl 0.390 0.390 0.000
Cl 0.110 0.110 0.000
W 0.250 0.750 0.500

Results
ΔE_f (raw): 7.4 kcal/mol of atoms
E above lowest polymorph: 518.0 meV/atom


Record 5
Material: KAl3Au3
Method: DFT, PBE
State: optimized geometry

a = 7.137 Å, b = 7.137 Å, c = 7.137 Å
α = 90.00°, β = 90.00°, γ = 90.00°
Element x y z (fractional)
Al 0.500 0.250 0.000
Au 0.500 0.000 0.250
Al 0.000 0.500 0.750
Au 0.750 0.500 0.000
Al 0.750 0.000 0.500
Au 0.250 0.500 0.000
K 0.000 0.000 0.000
Au 0.000 0.250 0.500
Al 0.500 0.750 0.000
Au 0.000 0.750 0.500
Au 0.500 0.000 0.750
Al 0.000 0.500 0.250
Al 0.250 0.000 0.500
K 0.500 0.500 0.500

Results
energy relative to the elements: -169 kJ/mol of formula units
E above lowest polymorph: 21.5 meV/atom


Record 6
Material: SrMgZnIr
Method: DFT, PBE
State: optimized geometry

a = 4.466 Å, b = 4.466 Å, c = 6.142 Å
α = 68.68°, β = 68.68°, γ = 60.00°
Element x y z (fractional)
Sr 0.817 0.817 0.548
Ir 0.620 0.620 0.140
Zn 0.281 0.281 0.157
Mg 0.008 0.008 0.977

Results
energy relative to the elements: -105 kJ/mol of formula units


Record 7
Material: Hf7GaSn3
Method: DFT, PBE
State: optimized geometry

a = 5.229 Å, b = 7.421 Å, c = 7.421 Å
α = 90.52°, β = 110.64°, γ = 110.64°
Element x y z (fractional)
Hf 0.335 0.592 0.076
Hf 0.197 0.196 0.196
Hf 0.665 0.408 0.924
Hf 0.000 0.500 0.500
Hf 0.335 0.076 0.592
Hf 0.803 0.804 0.804
Hf 0.665 0.924 0.408
Sn 0.000 0.229 0.771
Ga 0.500 0.500 0.500
Sn 0.500 0.000 0.000
Sn 0.000 0.771 0.229

Results
energy relative to the elements: -10 kJ/mol of formula units


Record 8
Material: CuRhO4
Method: DFT, PBE
State: optimized geometry

a = 5.549 Å, b = 5.549 Å, c = 5.549 Å
α = 111.93°, β = 111.93°, γ = 104.66°
Element x y z (fractional)
O 0.718 0.534 0.816
O 0.652 0.968 0.684
Cu 0.500 0.500 0.000
O 0.284 0.968 0.316
Cu 0.250 0.750 0.500
O 0.718 0.902 0.184
Rh 0.750 0.250 0.500
O 0.032 0.348 0.316
O 0.466 0.282 0.184
O 0.098 0.282 0.816
Rh 0.000 0.000 0.000
O 0.032 0.716 0.684

Results
ΔE_f (raw): -4.2 kcal/mol of atoms
E above lowest polymorph: 295.8 meV/atom


Record 9
Material: HfAlPCl2
Method: DFT, PBE
State: optimized geometry

a = 4.989 Å, b = 4.989 Å, c = 5.097 Å
α = 90.00°, β = 90.00°, γ = 90.00°
Element x y z (fractional)
Cl 0.000 0.500 0.000
Hf 0.000 0.000 0.000
P 0.000 0.000 0.500
Al 0.500 0.500 0.500
Cl 0.500 0.000 0.000

Results
ΔE_f (raw): -11.9 kcal/mol of atoms
E above lowest polymorph: 0.0 meV/atom


Record 10
Material: Sm12ScIn3
Method: DFT, PBE
State: optimized geometry

a = 4.934 Å, b = 4.934 Å, c = 19.966 Å
α = 90.00°, β = 90.00°, γ = 90.00°
Element x y z (fractional)
In 0.000 0.000 0.746
Sm 0.500 0.500 0.749
Sm 0.500 0.500 0.251
Sm 0.500 0.500 0.000
Sm 0.500 0.000 0.873
Sm 0.500 0.000 0.127
Sm 0.500 0.000 0.375
In 0.000 0.000 0.254
Sm 0.500 0.000 0.625
Sm 0.000 0.500 0.625
Sm 0.000 0.500 0.127
Sm 0.000 0.500 0.873
In 0.000 0.000 0.500
Sm 0.500 0.500 0.500
Sm 0.000 0.500 0.375
Sc 0.000 0.000 0.000

Results
energy relative to the elements: -295 kJ/mol of formula units


Record 11
Material: Sr2AlPd2O6
Method: DFT, PBE
State: optimized geometry

a = 5.878 Å, b = 5.878 Å, c = 6.289 Å
α = 62.14°, β = 62.14°, γ = 60.00°
Element x y z (fractional)
O 0.779 0.779 0.241
O 0.221 0.221 0.759
O 0.799 0.221 0.759
O 0.779 0.201 0.241
Al 0.000 0.000 0.000
Pd 0.407 0.407 0.779
Sr 0.214 0.214 0.359
Sr 0.786 0.786 0.641
O 0.221 0.799 0.759
Pd 0.593 0.593 0.221
O 0.201 0.779 0.241

Results
ΔE_f (raw): -36.8 kcal/mol of atoms


Record 12
Material: VIrRuRh
Method: DFT, PBE
State: optimized geometry

a = 3.815 Å, b = 3.804 Å, c = 3.832 Å
α = 90.00°, β = 90.00°, γ = 90.00°
Element x y z (fractional)
V 0.000 0.500 0.500
Ru 0.500 0.000 0.500
Rh 0.500 0.500 0.000
Ir 0.000 0.000 0.000

Results
energy relative to the elements: -133 kJ/mol of formula units